1.
## HfAs3Br (PBE)

Data for HfAs3Br after structural relaxation.

uncorrected formation energy = 1.047 eV/atom
relative energy among the computed polymorphs = 862 meV/atom
space group = Pm-3m, No. 221
spin magnetization = 0.00 μB per formula unit

a b c (Å): 4.925 4.925 4.925
angles (deg): 90.00 90.00 90.00
Fractional positions:
Hf1 0.000 0.000 0.000
As1 0.000 0.500 0.500
As2 0.500 0.000 0.500
As3 0.500 0.500 0.000
Br1 0.500 0.500 0.500



2.
## ZnInP2Cl (PBE)

Data for ZnInP2Cl after structural relaxation.

uncorrected formation energy = 0.391 eV/atom
relative energy among the computed polymorphs = 0 meV/atom
space group = P4/mmm, No. 123
spin magnetization = 1.40 μB per formula unit

a b c (Å): 4.683 4.683 5.418
angles (deg): 90.00 90.00 90.00
Fractional positions:
Zn1 0.000 0.000 0.000
In1 0.500 0.500 0.500
P1 0.000 0.500 0.000
P2 0.500 0.000 0.000
Cl1 0.000 0.000 0.500



3.
## LiMgPb3 (PBE)

Data for LiMgPb3 after structural relaxation.

relative energy among the computed polymorphs = 386 meV/atom
DFT formation energy = 0.27 eV per atom
space group = Pm-3m, No. 221
spin magnetization = 0.00 μB per formula unit

a b c (Å): 5.565 5.565 5.565
angles (deg): 90.00 90.00 90.00
Fractional positions:
Li1 0.000 0.000 0.000
Mg1 0.500 0.500 0.500
Pb1 0.000 0.500 0.500
Pb2 0.500 0.000 0.500
Pb3 0.500 0.500 0.000



4.
## Li2AcPm2Sn2 (PBE)

Data for Li2AcPm2Sn2 after structural relaxation.

DFT formation energy = -0.48 eV per atom
space group = R-3m, No. 166
spin magnetization = 0.00 μB per formula unit

a b c (Å): 9.950 9.950 9.950
angles (deg): 28.54 28.54 28.54
Fractional positions:
Li1 0.085 0.085 0.085
Li2 0.915 0.915 0.915
Ac1 0.500 0.500 0.500
Pm1 0.368 0.368 0.368
Pm2 0.632 0.632 0.632
Sn1 0.243 0.243 0.243
Sn2 0.757 0.757 0.757



5.
## InPd6 (PBE)

Data for InPd6 after structural relaxation.

DFT formation energy = 0.83 eV per atom
space group = Im-3m, No. 229
spin magnetization = 0.01 μB per formula unit

a b c (Å): 6.121 6.121 6.121
angles (deg): 109.47 109.47 109.47
Fractional positions:
In1 0.000 0.000 0.000
Pd1 0.250 0.500 0.750
Pd2 0.250 0.750 0.500
Pd3 0.500 0.250 0.750
Pd4 0.500 0.750 0.250
Pd5 0.750 0.250 0.500
Pd6 0.750 0.500 0.250



6.
## VHgH (PBE)

Data for VHgH after structural relaxation.

relative energy among the computed polymorphs = 142 meV/atom
space group = Pm, No. 6
spin magnetization = 0.00 μB per formula unit

a b c (Å): 3.856 2.902 7.730
angles (deg): 90.00 103.46 90.00
Fractional positions:
V1 0.000 0.000 0.000
V2 0.351 0.500 0.844
Hg1 0.213 0.000 0.494
Hg2 0.595 0.500 0.223
H1 0.055 0.000 0.781
H2 0.621 0.000 0.826



7.
## BaYEr4S8 (PBE)

Data for BaYEr4S8 after structural relaxation.

uncorrected formation energy = -1.959 eV/atom
space group = R3m, No. 160
spin magnetization = 0.00 μB per formula unit

a b c (Å): 8.205 8.205 8.205
angles (deg): 59.77 59.77 59.77
Fractional positions:
Ba1 0.000 0.000 0.000
Y1 0.628 0.628 0.628
Er1 0.120 0.628 0.628
Er2 0.251 0.251 0.251
Er3 0.628 0.120 0.628
Er4 0.628 0.628 0.120
S1 0.381 0.381 0.855
S2 0.381 0.855 0.381
S3 0.383 0.383 0.383
S4 0.430 0.859 0.859
S5 0.855 0.381 0.381
S6 0.857 0.857 0.857
S7 0.859 0.430 0.859
S8 0.859 0.859 0.430



8.
## GaHg2N (PBE)

Data for GaHg2N after structural relaxation.

uncorrected formation energy = 1.100 eV/atom
relative energy among the computed polymorphs = 313 meV/atom
space group = Fm-3m, No. 225
spin magnetization = 0.00 μB per formula unit

a b c (Å): 4.698 4.698 4.698
angles (deg): 60.00 60.00 60.00
Fractional positions:
Ga1 0.000 0.000 0.000
Hg1 0.250 0.250 0.250
Hg2 0.750 0.750 0.750
N1 0.500 0.500 0.500



9.
## HgPb2Au (PBE)

Data for HgPb2Au after structural relaxation.

relative energy among the computed polymorphs = 132 meV/atom
DFT formation energy = 0.09 eV per atom
space group = P2_1/m, No. 11
spin magnetization = 0.00 μB per formula unit

a b c (Å): 3.473 3.207 20.026
angles (deg): 90.00 90.69 90.00
Fractional positions:
Hg1 0.247 0.250 0.348
Hg2 0.753 0.750 0.652
Pb1 0.243 0.250 0.067
Pb2 0.250 0.750 0.784
Pb3 0.750 0.250 0.216
Pb4 0.757 0.750 0.933
Au1 0.251 0.750 0.540
Au2 0.749 0.250 0.460



10.
## CaAl3Ir (PBE)

Data for CaAl3Ir after structural relaxation.

relative energy among the computed polymorphs = 9 meV/atom
DFT formation energy = -0.47 eV per atom
space group = P6_3/mmc, No. 194
spin magnetization = 0.00 μB per formula unit

a b c (Å): 6.527 6.527 11.176
angles (deg): 90.00 90.00 120.00
Fractional positions:
Ca1 0.000 0.000 0.000
Ca2 0.000 0.000 0.500
Ca3 0.333 0.667 0.250
Ca4 0.667 0.333 0.750
Al1 0.000 0.500 0.000
Al2 0.000 0.500 0.500
Al3 0.141 0.283 0.750
Al4 0.141 0.859 0.750
Al5 0.283 0.141 0.250
Al6 0.500 0.000 0.000
Al7 0.500 0.000 0.500
Al8 0.500 0.500 0.000
Al9 0.500 0.500 0.500
Al10 0.717 0.859 0.750
Al11 0.859 0.141 0.250
Al12 0.859 0.717 0.250
Ir1 0.333 0.667 0.624
Ir2 0.333 0.667 0.876
Ir3 0.667 0.333 0.124
Ir4 0.667 0.333 0.376



Look up the spin magnetization of the fourth one. 0.00 μB per formula unit